First-principles (PBE) data for a geometry-optimized Pu5GeSb3 structure, as listed in Alexandria. Values from VASP.

Values from the calculation:
Density of states at the Fermi level = 52.66 states/eV/f.u.
Uncorrected formation energy = -4.9 eV per formula unit

```
&SYSTEM
  ibrav = 0, nat = 18, ntyp = 3
/
ATOMIC_SPECIES
Pu 244.00 Pu.upf
Sb 121.76 Sb.upf
Ge 72.64 Ge.upf
ATOMIC_POSITIONS crystal
Pu 0.000 0.667 0.333
Pu 0.750 0.000 0.733
Pu 0.250 0.000 0.267
Pu 0.750 0.267 0.267
Pu 0.000 0.333 0.667
Pu 0.750 0.733 0.000
Pu 0.500 0.333 0.667
Pu 0.250 0.733 0.733
Pu 0.250 0.267 0.000
Pu 0.500 0.667 0.333
Sb 0.250 0.000 0.619
Sb 0.250 0.381 0.381
Sb 0.250 0.619 0.000
Sb 0.750 0.619 0.619
Sb 0.750 0.381 0.000
Sb 0.750 0.000 0.381
Ge 0.500 0.000 0.000
Ge 0.000 0.000 0.000
CELL_PARAMETERS angstrom
6.151 0.000 0.000
0.000 8.122 -4.690
0.000 0.000 9.379
```